The following is a DFT calculation (PBE-GGA) of ZrInCoOs after structural relaxation.

Cell and atoms, written as extended XYZ:
```
16
Lattice="6.475 0.000 0.000 0.000 6.475 0.000 0.000 0.000 6.475" Properties=species:S:1:pos:R:3 pbc="T T T"
Zr 0.000 0.000 0.000
Zr 0.000 3.237 3.237
Zr 3.237 0.000 3.237
Zr 3.237 3.237 0.000
In 1.619 1.619 1.619
In 1.619 4.856 4.856
In 4.856 1.619 4.856
In 4.856 4.856 1.619
Co 0.000 0.000 3.237
Co 0.000 3.237 0.000
Co 3.237 0.000 0.000
Co 3.237 3.237 3.237
Os 1.619 1.619 4.856
Os 1.619 4.856 1.619
Os 4.856 1.619 1.619
Os 4.856 4.856 4.856
```

The calculation puts the energy above the most stable polymorph in this dataset at 397.7 meV per atom. Its symmetry is No. 216.

---

The following is a DFT calculation (PBE-GGA) of Y2ErAl3Si2Pd after structural relaxation.

Cell and atoms, written as extended XYZ:
```
9
Lattice="4.242 0.000 0.000 0.000 5.953 3.442 0.000 -5.953 3.442" Properties=species:S:1:pos:R:3 pbc="T T T"
Y 0.000 -3.463 3.442
Y 0.000 3.463 3.442
Er 0.000 0.000 2.566
Al 2.121 0.000 0.203
Al 2.121 -1.419 4.616
Al 2.121 1.419 4.616
Si 2.121 -1.969 2.002
Si 2.121 1.969 2.002
Pd 0.000 0.000 5.419
```

Its symmetry is No. 38. The electronic total energy is -5.775 eV per atom.

---

The following is a DFT calculation (PBE-GGA) of Ag3P2O8 after structural relaxation.

Cell and atoms, written as extended XYZ:
```
13
Lattice="4.993 0.000 0.000 2.027 5.233 0.000 0.681 1.903 6.262" Properties=species:S:1:pos:R:3 pbc="T T T"
Ag 0.000 0.000 0.000
Ag 2.131 1.892 2.017
Ag 5.569 5.244 4.246
P 3.051 3.344 4.876
P 4.649 3.792 1.386
O 2.777 4.669 4.181
O 1.640 1.283 0.012
O 3.116 3.827 1.121
O 2.490 2.110 4.120
O 5.210 5.026 2.142
O 4.584 3.310 5.141
O 6.061 5.854 6.250
O 4.924 2.468 2.082
```

Its symmetry is No. 2. The electronic total energy is -5.730 eV per atom.

---

Repeat the third record exactly.
The following is a DFT calculation (PBE-GGA) of Ag3P2O8 after structural relaxation.

Cell and atoms, written as extended XYZ:
```
13
Lattice="4.993 0.000 0.000 2.027 5.233 0.000 0.681 1.903 6.262" Properties=species:S:1:pos:R:3 pbc="T T T"
Ag 0.000 0.000 0.000
Ag 2.131 1.892 2.017
Ag 5.569 5.244 4.246
P 3.051 3.344 4.876
P 4.649 3.792 1.386
O 2.777 4.669 4.181
O 1.640 1.283 0.012
O 3.116 3.827 1.121
O 2.490 2.110 4.120
O 5.210 5.026 2.142
O 4.584 3.310 5.141
O 6.061 5.854 6.250
O 4.924 2.468 2.082
```

Its symmetry is No. 2. The electronic total energy is -5.730 eV per atom.